(1)
Below is a geometry-optimized YSi3Ni5 structure, with properties calculated at the GGA-PBE level.

The structure in CIF format:
```
data_YSi3Ni5
_cell_length_a 18.7295
_cell_length_b 3.7877
_cell_length_c 6.6569
_cell_angle_alpha 90.00
_cell_angle_beta 90.00
_cell_angle_gamma 90.00
_space_group_name_H-M_alt 'P n m a'
_space_group_IT_number 62
loop_
_space_group_symop_operation_xyz
'x,y,z'
'-x,-y,-z'
'-x+1/2,-y,z+1/2'
'x+1/2,y,-z+1/2'
'x+1/2,-y+1/2,-z+1/2'
'-x+1/2,y+1/2,z+1/2'
'-x,y+1/2,-z'
'x,-y+1/2,z'
loop_
_atom_site_label
_atom_site_type_symbol
_atom_site_fract_x
_atom_site_fract_y
_atom_site_fract_z
Y1 Y 0.1430 0.2500 0.1229
Si1 Si 0.0737 0.7500 0.8435
Si2 Si 0.0864 0.7500 0.4208
Si3 Si 0.2379 0.2500 0.6204
Ni1 Ni 0.0058 0.7500 0.1347
Ni2 Ni 0.0156 0.2500 0.3860
Ni3 Ni 0.1154 0.2500 0.6453
Ni4 Ni 0.1993 0.7500 0.8131
Ni5 Ni 0.2072 0.7500 0.4301
```

Output
ΔE to the lowest computed polymorph (meV/atom): 0
Energy relative to the elements, uncorrected (eV/atom): -0.716

---

(2)
Below is a geometry-optimized YSi2Ni2 structure, with properties calculated at the GGA-PBE level.

The structure in CIF format:
```
data_YSi2Ni2
_cell_length_a 7.2456
_cell_length_b 7.2456
_cell_length_c 2.7718
_cell_angle_alpha 90.00
_cell_angle_beta 90.00
_cell_angle_gamma 90.00
_space_group_name_H-M_alt 'P 4/m b m'
_space_group_IT_number 127
_space_group_name_Hall '-P 4 2ab'
loop_
_atom_site_label
_atom_site_type_symbol
_atom_site_fract_x
_atom_site_fract_y
_atom_site_fract_z
Y1 Y 0.0000 0.0000 0.0000
Si1 Si 0.1556 0.3444 0.5000
Ni1 Ni 0.1236 0.6236 0.0000
```

Output
Energy relative to the elements, uncorrected (eV/atom): -0.346

---

(3)
Below is a geometry-optimized Y3Si3Ni2 structure, with properties calculated at the GGA-PBE level.

The structure in CIF format:
```
data_Y3Si3Ni2
_cell_length_a 4.1534
_cell_length_b 10.1828
_cell_length_c 13.9049
_cell_angle_alpha 90.00
_cell_angle_beta 90.00
_cell_angle_gamma 90.00
_space_group_name_H-M_alt 'C m c m'
_space_group_IT_number 63
_space_group_name_Hall '-C 2c 2'
loop_
_atom_site_label
_atom_site_type_symbol
_atom_site_fract_x
_atom_site_fract_y
_atom_site_fract_z
Y1 Y 0.0000 0.0887 0.1098
Y2 Y 0.0000 0.3710 0.2500
Si1 Si 0.0000 0.3278 0.7500
Si2 Si 0.0000 0.3800 0.0380
Ni1 Ni 0.0000 0.2031 0.5957
```

Output
Energy relative to the elements, uncorrected (eV/atom): -0.830

---

(4)
Below is a geometry-optimized Y4SiNi structure, with properties calculated at the GGA-PBE level.

The structure in CIF format:
```
data_Y4SiNi
_cell_length_a 8.5513
_cell_length_b 8.5513
_cell_length_c 8.5513
_cell_angle_alpha 90.00
_cell_angle_beta 90.00
_cell_angle_gamma 90.00
_space_group_name_H-M_alt 'F -4 3 m'
_space_group_IT_number 216
_space_group_name_Hall 'F -4 2 3'
loop_
_atom_site_label
_atom_site_type_symbol
_atom_site_fract_x
_atom_site_fract_y
_atom_site_fract_z
Y1 Y 0.1253 0.1253 0.1253
Si1 Si 0.0000 0.0000 0.5000
Ni1 Ni 0.2500 0.2500 0.7500
```

Output
Energy relative to the elements, uncorrected (eV/atom): 0.720

---

(5)
Below is a geometry-optimized YSi3Ni9 structure, with properties calculated at the GGA-PBE level.

The structure in CIF format:
```
data_YSi3Ni9
_cell_length_a 4.7842
_cell_length_b 11.5906
_cell_length_c 6.1052
_cell_angle_alpha 90.00
_cell_angle_beta 111.17
_cell_angle_gamma 90.00
_space_group_name_H-M_alt 'C 1 2/m 1'
_space_group_IT_number 12
loop_
_space_group_symop_operation_xyz
'x,y,z'
'-x,-y,-z'
'-x,y,-z'
'x,-y,z'
'x+1/2,y+1/2,z'
'-x+1/2,-y+1/2,-z'
'-x+1/2,y+1/2,-z'
'x+1/2,-y+1/2,z'
loop_
_atom_site_label
_atom_site_type_symbol
_atom_site_fract_x
_atom_site_fract_y
_atom_site_fract_z
Y1 Y 0.0000 0.0000 0.0000
Si1 Si 0.0000 0.5000 0.5000
Si2 Si 0.2500 0.2500 0.0000
Ni1 Ni 0.0000 0.0000 0.5000
Ni2 Ni 0.1017 0.3865 0.2236
Ni3 Ni 0.1578 0.1775 0.3433
```

Output
Energy relative to the elements, uncorrected (eV/atom): -0.490

---

(6)
Below is a geometry-optimized YSi4Ni6 structure, with properties calculated at the GGA-PBE level.

The structure in CIF format:
```
data_YSi4Ni6
_cell_length_a 6.6227
_cell_length_b 6.6227
_cell_length_c 3.6985
_cell_angle_alpha 90.00
_cell_angle_beta 90.00
_cell_angle_gamma 120.00
_space_group_name_H-M_alt 'P -6 m 2'
_space_group_IT_number 187
_space_group_name_Hall 'P -6 2'
loop_
_atom_site_label
_atom_site_type_symbol
_atom_site_fract_x
_atom_site_fract_y
_atom_site_fract_z
Y1 Y 0.0000 0.0000 0.0000
Si1 Si 0.3333 0.6667 0.0000
Si2 Si 0.3927 0.1963 0.5000
Ni1 Ni 0.2045 0.4090 0.5000
Ni2 Ni 0.5353 0.0706 0.0000
```

Output
Energy relative to the elements, uncorrected (eV/atom): -0.693